## CsHoU (PBE)

Data for a relaxed CsHoU crystal.

Results
Size of the total moment, μB per atom: 2.20
Distance to the lowest polymorph of the same formula, meV/atom: 0

Cell lengths 8.1497, 8.1497, 8.1497 Å; angles 90.00, 90.00, 90.00 degrees
Space group F-43m (No. 216)
Asymmetric unit:
Cs (0.0000, 0.0000, 0.0000) (multiplicity 4)
Ho (0.0000, 0.0000, 0.5000) (multiplicity 4)
U (0.2500, 0.2500, 0.2500) (multiplicity 4)

## SbAsAuO (PBE)

Data for a relaxed SbAsAuO crystal.

Results
Distance to the lowest polymorph of the same formula, meV/atom: 666

Cell lengths 4.6509, 4.6509, 8.1292 Å; angles 90.00, 90.00, 90.00 degrees
Space group P4/nmm (No. 129, origin choice 2)
Asymmetric unit:
Sb (0.2500, 0.7500, 0.0000) (multiplicity 2)
As (0.2500, 0.2500, 0.1938) (multiplicity 2)
Au (0.2500, 0.2500, 0.5156) (multiplicity 2)
O (0.2500, 0.7500, 0.5000) (multiplicity 2)

## SrMgIn4Pd2 (PBE)

Data for a relaxed SrMgIn4Pd2 crystal.

Results
Energy, eV per atom: -3.54

Cell lengths 7.9889, 4.4709, 10.3209 Å; angles 90.00, 90.00, 90.00 degrees
Space group Amm2 (No. 38)
Asymmetric unit:
Sr (0.0000, 0.0000, 0.0000) (multiplicity 2)
Mg (0.5000, 0.0000, 0.8690) (multiplicity 2)
In (0.2091, 0.0000, 0.2925) (multiplicity 4)
In (0.3094, 0.0000, 0.5800) (multiplicity 4)
Pd (0.0000, 0.0000, 0.7134) (multiplicity 2)
Pd (0.5000, 0.0000, 0.1463) (multiplicity 2)

## Dy2Ho2CBr4Cl (PBE)

Data for a relaxed Dy2Ho2CBr4Cl crystal.

Results
Size of the total moment, μB per atom: 0.01
Energy, eV per atom: -5.08

Cell lengths 17.7370, 3.7582, 7.8814 Å; angles 90.00, 102.72, 90.00 degrees
Space group C2/m (No. 12)
Asymmetric unit:
Dy (0.1387, 0.0000, 0.0725) (multiplicity 4)
Ho (0.0009, 0.5000, 0.7929) (multiplicity 4)
C (0.0000, 0.0000, 0.0000) (multiplicity 2)
Br (0.1629, 0.5000, 0.3497) (multiplicity 4)
Br (0.1695, 0.5000, 0.8186) (multiplicity 4)
Cl (0.0000, 0.0000, 0.5000) (multiplicity 2)

## FeReNiAs (PBE)

Data for a relaxed FeReNiAs crystal.

Results
Size of the total moment, μB per atom: 0.51
Distance to the lowest polymorph of the same formula, meV/atom: 0

Cell lengths 5.8869, 5.8869, 5.8869 Å; angles 90.00, 90.00, 90.00 degrees
Space group F-43m (No. 216)
Asymmetric unit:
Fe (0.0000, 0.0000, 0.0000) (multiplicity 4)
Re (0.0000, 0.0000, 0.5000) (multiplicity 4)
Ni (0.2500, 0.2500, 0.2500) (multiplicity 4)
As (0.2500, 0.2500, 0.7500) (multiplicity 4)

## CoGe (PBE)

Data for a relaxed CoGe crystal.

Results
Size of the total moment, μB per atom: 0.00
Energy, eV per atom: -6.08

Cell lengths 11.6830, 3.7611, 4.9269 Å; angles 90.00, 99.87, 90.00 degrees
Space group C2/m (No. 12)
Asymmetric unit:
Co (0.0000, 0.0000, 0.0000) (multiplicity 2)
Co (0.0000, 0.0000, 0.5000) (multiplicity 2)
Co (0.1977, 0.0000, 0.3266) (multiplicity 4)
Ge (0.0706, 0.5000, 0.2829) (multiplicity 4)
Ge (0.1831, 0.0000, 0.8197) (multiplicity 4)

## BaPdPb (PBE)

Data for a relaxed BaPdPb crystal.

Results
Energy, eV per atom: -4.20

Cell lengths 7.0287, 7.2317, 8.7013 Å; angles 90.00, 122.41, 90.00 degrees
Space group P2_1/c (No. 14)
Asymmetric unit:
Ba (0.2158, 0.1443, 0.4187) (multiplicity 4)
Pd (0.3764, 0.5914, 0.3220) (multiplicity 4)
Pb (0.2501, 0.6309, 0.5716) (multiplicity 4)

## DyZrFe (PBE)

Data for a relaxed DyZrFe crystal.

Results
Size of the total moment, μB per atom: 0.00
Distance to the lowest polymorph of the same formula, meV/atom: 0

Cell lengths 6.3769, 6.3769, 6.3769 Å; angles 90.00, 90.00, 90.00 degrees
Space group F-43m (No. 216)
Asymmetric unit:
Dy (0.0000, 0.0000, 0.0000) (multiplicity 4)
Zr (0.0000, 0.0000, 0.5000) (multiplicity 4)
Fe (0.2500, 0.2500, 0.2500) (multiplicity 4)

## BaIn2SnAu (PBE)

Data for a relaxed BaIn2SnAu crystal.

Results
Energy, eV per atom: -3.45

Cell lengths 4.9472, 4.9472, 11.7450 Å; angles 90.00, 90.00, 90.00 degrees
Space group I4mm (No. 107)
Asymmetric unit:
Ba (0.0000, 0.0000, 0.0000) (multiplicity 2)
In (0.0000, 0.5000, 0.2541) (multiplicity 4)
Sn (0.0000, 0.0000, 0.6002) (multiplicity 2)
Au (0.0000, 0.0000, 0.3684) (multiplicity 2)

## BIr4S2 (PBE)

Data for a relaxed BIr4S2 crystal.

Results
Size of the total moment, μB per atom: 0.00
Energy, eV per atom: -6.78

Cell lengths 5.7693, 5.7693, 6.0092 Å; angles 90.00, 90.00, 90.00 degrees
Space group I4/mmm (No. 139)
Asymmetric unit:
B (0.0000, 0.0000, 0.0000) (multiplicity 2)
Ir (0.2481, 0.2481, 0.5000) (multiplicity 8)
S (0.0000, 0.5000, 0.2500) (multiplicity 4)

## TmAgPbO3 (PBE)

Data for a relaxed TmAgPbO3 crystal.

Results
Size of the total moment, μB per atom: 0.00
Energy, eV per atom: -5.24

Cell lengths 3.2179, 16.6180, 7.4640 Å; angles 90.00, 90.00, 90.00 degrees
Space group Cmcm (No. 63)
Asymmetric unit:
Tm (0.0000, 0.0000, 0.0000) (multiplicity 4)
Ag (0.0000, 0.4007, 0.2500) (multiplicity 4)
Pb (0.0000, 0.3180, 0.7500) (multiplicity 4)
O (0.0000, 0.1233, 0.0688) (multiplicity 8)
O (0.0000, 0.2699, 0.2500) (multiplicity 4)

## ZnSbPbF (PBE)

Data for a relaxed ZnSbPbF crystal.

Results
Distance to the lowest polymorph of the same formula, meV/atom: 0

Cell lengths 4.2088, 4.2088, 9.8279 Å; angles 90.00, 90.00, 90.00 degrees
Space group P4/nmm (No. 129, origin choice 2)
Asymmetric unit:
Zn (0.2500, 0.7500, 0.0000) (multiplicity 2)
Sb (0.2500, 0.2500, 0.1811) (multiplicity 2)
Pb (0.2500, 0.2500, 0.6506) (multiplicity 2)
F (0.2500, 0.7500, 0.5000) (multiplicity 2)